# 1
HgAsOs2 | GGA-PBE | relaxed

Lattice parameters (Å, degrees): 2.819 2.819 10.887 90.00 90.00 120.32
Element x y z (fractional)
Hg 0.000 0.000 0.000
As 0.500 0.500 0.343
Os 0.000 0.000 0.545
Os 0.500 0.500 0.747

Space-group type: Cmm2, No. 35
ΔH_f (0 K) (eV per atom): 0.65
Volume (Å³/atom): 18.7
ΔE to the lowest computed polymorph (meV per atom): 253

***

# 2
Ti3CrMo | GGA-PBE | relaxed

Lattice parameters (Å, degrees): 4.422 4.422 4.422 90.00 90.00 90.00
Element x y z (fractional)
Ti 0.000 0.000 0.500
Ti 0.000 0.500 0.000
Ti 0.500 0.000 0.000
Cr 0.000 0.000 0.000
Mo 0.500 0.500 0.500

Space-group type: Pm-3m, No. 221
ΔH_f (0 K) (eV per atom): 0.76
Volume (Å³/atom): 17.3
ΔE to the lowest computed polymorph (meV per atom): 0

***

# 3
AlSbRh | GGA-PBE | relaxed

Lattice parameters (Å, degrees): 6.283 6.283 6.283 151.68 151.68 40.48
Element x y z (fractional)
Al 0.000 0.000 0.000
Sb 0.717 0.717 0.000
Rh 0.387 0.387 0.000

Space-group type: I4mm, No. 107
Volume (Å³/atom): 18.6
Formation energy (no corrections) (eV/atom): -0.3222

***

# 4
K2SrPtO4 | GGA-PBE | relaxed

Lattice parameters (Å, degrees): 13.442 11.853 7.862 83.34 61.14 35.52
Element x y z (fractional)
K 0.072 0.072 0.678
K 0.322 0.322 0.928
K 0.678 0.678 0.072
K 0.928 0.928 0.322
Sr 0.125 0.125 0.125
Sr 0.875 0.875 0.875
Pt 0.375 0.375 0.375
Pt 0.625 0.625 0.625
O 0.069 0.684 0.486
O 0.261 0.486 0.684
O 0.316 0.931 0.739
O 0.486 0.261 0.069
O 0.514 0.739 0.931
O 0.684 0.069 0.261
O 0.739 0.514 0.316
O 0.931 0.316 0.514

Space-group type: Fddd, No. 70
Volume (Å³/atom): 33.4
Formation energy (no corrections) (eV/atom): -1.1564